# NiO GGA+U optimized geometry
# DFT total energy   -36.37 eV for the cell shown
data_NiO
_chemical_formula_sum 'Ni4 O4'
_cell_length_a 5.7656
_cell_length_b 5.7656
_cell_length_c 3.0216
_cell_angle_alpha 90.00
_cell_angle_beta 90.00
_cell_angle_gamma 90.00
_symmetry_space_group_name_H-M 'P 42/m n m'
_symmetry_Int_Tables_number 136
_symmetry_space_group_name_Hall '-P 4n 2n'
loop_
_atom_site_label
_atom_site_type_symbol
_atom_site_fract_x
_atom_site_fract_y
_atom_site_fract_z
Ni1 Ni 0.1789 0.1789 0.0000
O1 O 0.1653 0.8347 0.0000